Entry 1:
Computed, not measured: crystalline CaCuBi at its relaxed geometry at the PBE level of DFT.

Cell lengths 9.0875, 9.0875, 9.0875 Å; angles 29.06, 29.06, 29.06 degrees
Atoms (fractional coordinates):
Ca: 0.0000 0.0000 0.0000
Ca: 0.1619 0.1619 0.1619
Cu: 0.2742 0.2742 0.2742
Cu: 0.4034 0.4034 0.4034
Bi: 0.5811 0.5811 0.5811
Bi: 0.7521 0.7521 0.7521

Entry 2:
Computed, not measured: crystalline SrCa2Mg at its relaxed geometry at the PBE level of DFT.

Cell lengths 12.1168, 12.1168, 12.1168 Å; angles 18.88, 18.88, 18.88 degrees
Atoms (fractional coordinates):
Sr: 0.0000 0.0000 0.0000
Ca: 0.2380 0.2380 0.2380
Ca: 0.7620 0.7620 0.7620
Mg: 0.5000 0.5000 0.5000

Entry 3:
Computed, not measured: crystalline In4CuPd15 at its relaxed geometry at the PBE level of DFT.

Cell lengths 4.0352, 4.0352, 19.8735 Å; angles 90.00, 90.00, 90.00 degrees
Atoms (fractional coordinates):
In: 0.0000 0.0000 0.1018
In: 0.0000 0.0000 0.3058
In: 0.0000 0.0000 0.6942
In: 0.0000 0.0000 0.8982
Cu: 0.0000 0.0000 0.5000
Pd: 0.0000 0.5000 0.0000
Pd: 0.0000 0.5000 0.2046
Pd: 0.0000 0.5000 0.4073
Pd: 0.0000 0.5000 0.5927
Pd: 0.0000 0.5000 0.7954
Pd: 0.5000 0.0000 0.0000
Pd: 0.5000 0.0000 0.2046
Pd: 0.5000 0.0000 0.4073
Pd: 0.5000 0.0000 0.5927
Pd: 0.5000 0.0000 0.7954
Pd: 0.5000 0.5000 0.1026
Pd: 0.5000 0.5000 0.3067
Pd: 0.5000 0.5000 0.5000
Pd: 0.5000 0.5000 0.6933
Pd: 0.5000 0.5000 0.8974

It is found that the M_tot values, taken in the order of the records, are 0.000; 0.000; 0.000 μB/atom.
It is found that the total energy values, taken in the order of the records, are -0.1375; -0.0651; -0.1835 hartree per atom.
It is found that the energy relative to the elements values, taken in the order of the records, are -416; 48; -347 meV per atom.